# 1
The following is a PBE calculation of crystalline Ba2ErP3Pt12 at its relaxed geometry, from Alexandria.

Cell: 7.931 7.931 7.931 Å, 64.23 64.23 64.23°
Sites, in units of the cell vectors:
Pt 0.092 0.670 0.670
Pt 0.128 0.128 0.610
Pt 0.908 0.330 0.330
Pt 0.128 0.610 0.128
Pt 0.610 0.128 0.128
Pt 0.390 0.872 0.872
Pt 0.872 0.390 0.872
Pt 0.330 0.908 0.330
Pt 0.872 0.872 0.390
Pt 0.670 0.670 0.092
Pt 0.670 0.092 0.670
Pt 0.330 0.330 0.908
P 0.500 0.000 0.000
P 0.000 0.500 0.000
P 0.000 0.000 0.500
Ba 0.396 0.396 0.396
Ba 0.604 0.604 0.604
Er 0.000 0.000 0.000

Properties
* DOS(E_F): 0.275 states/eV per atom

# 2
The following is a PBE calculation of crystalline Ba3Er2UP6 at its relaxed geometry, from Alexandria.

Cell: 7.230 7.230 7.673 Å, 99.02 99.02 119.98°
Sites, in units of the cell vectors:
P 0.616 0.934 0.801
P 0.384 0.066 0.199
P 0.934 0.616 0.801
P 0.751 0.751 0.201
P 0.249 0.249 0.799
P 0.066 0.384 0.199
Er 0.666 0.334 0.000
Er 0.334 0.666 0.000
Ba 0.829 0.171 0.500
Ba 0.500 0.500 0.500
Ba 0.171 0.829 0.500
U 0.000 0.000 0.000

# 3
The following is a PBE calculation of crystalline BaErPa2S8 at its relaxed geometry, from Alexandria.

Cell: 6.461 6.446 8.499 Å, 90.00 90.00 88.23°
Sites, in units of the cell vectors:
S 0.798 0.228 0.783
S 0.798 0.228 0.217
S 0.349 0.312 0.500
S 0.316 0.303 0.000
S 0.202 0.772 0.217
S 0.651 0.688 0.500
S 0.202 0.772 0.783
S 0.684 0.697 0.000
Ba 0.000 0.000 0.500
Pa 0.500 0.500 0.248
Pa 0.500 0.500 0.752
Er 0.000 0.000 0.000

Properties
* energy relative to the elements, uncorrected: -35.539 kcal/mol of atoms
* DOS(E_F): 0.511 states/eV per atom

| no. | uncorrected energy (eV/atom) | calculated volume (Å³/cell) |
| --- | --- | --- |
| 1 | -5.791 | 385.5 |
| 2 | -6.045 | 329.9 |
| 3 | -6.416 | 353.8 |